Entry 1:
# KRb2Li2

A relaxed structure of KRb2Li2 (PBE-GGA, Alexandria).

The density of states at the Fermi level is 7.22 states/eV per cell. The value obtained for the formation energy from the elements is 0.2013 eV/atom. For the energy above the most stable polymorph in this dataset, the calculation gives 80 meV/atom. The final energy is -1.171 eV per atom.

The space group is P4/mbm (No. 127) and the conventional cell measures 11.561, 11.561 and 4.259 Å, with angles of 90.00, 90.00 and 90.00 degrees. The inequivalent atoms are K at (0.000, 0.000, 0.000), Rb at (0.137, 0.363, 0.000) and Li at (0.161, 0.661, 0.500).

---

Entry 2:
# K2RbLi2

A relaxed structure of K2RbLi2 (PBE-GGA, Alexandria).

The density of states at the Fermi level is 6.59 states/eV per cell. The value obtained for the formation energy from the elements is 0.1651 eV/atom. For the energy above the most stable polymorph in this dataset, the calculation gives 50 meV/atom. The final energy is -1.233 eV per atom.

The space group is P4/mbm (No. 127) and the conventional cell measures 11.302, 11.302 and 4.134 Å, with angles of 90.00, 90.00 and 90.00 degrees. The inequivalent atoms are K at (0.132, 0.368, 0.000), Rb at (0.000, 0.000, 0.000) and Li at (0.165, 0.665, 0.500).

---

Entry 3:
# KRb2Li2

A relaxed structure of KRb2Li2 (PBE-GGA, Alexandria).

The density of states at the Fermi level is 9.16 states/eV per cell. The value obtained for the formation energy from the elements is 0.1528 eV/atom. For the energy above the most stable polymorph in this dataset, the calculation gives 31 meV/atom. The final energy is -1.219 eV per atom.

The space group is P4/mbm (No. 127) and the conventional cell measures 10.052, 10.052 and 5.724 Å, with angles of 90.00, 90.00 and 90.00 degrees. The inequivalent atoms are K at (0.000, 0.000, 0.000), Rb at (0.175, 0.325, 0.500) and Li at (0.109, 0.609, 0.000).

---

Entry 4:
# K2Rb2Li

A relaxed structure of K2Rb2Li (PBE-GGA, Alexandria).

The density of states at the Fermi level is 7.95 states/eV per cell. The value obtained for the formation energy from the elements is 0.2416 eV/atom. For the energy above the most stable polymorph in this dataset, the calculation gives 116 meV/atom. The final energy is -0.967 eV per atom.

The space group is I4/mmm (No. 139) and the conventional cell measures 5.817, 5.817 and 22.798 Å, with angles of 90.00, 90.00 and 90.00 degrees. The inequivalent atoms are K at (0.000, 0.000, 0.086), Rb at (0.000, 0.500, 0.250) and Li at (0.000, 0.000, 0.500).

---

Entry 5:
# K5Rb2Li

A relaxed structure of K5Rb2Li (PBE-GGA, Alexandria).

The density of states at the Fermi level is 9.85 states/eV per cell. The value obtained for the formation energy from the elements is 0.1201 eV/atom. The final energy is -1.047 eV per atom.

The space group is I4mm (No. 107) and the conventional cell measures 8.681, 8.681 and 17.308 Å, with angles of 90.00, 90.00 and 90.00 degrees. The inequivalent atoms are K at (0.000, 0.000, 0.000), K at (0.246, 0.246, 0.675), Rb at (0.000, 0.500, 0.403) and Li at (0.000, 0.000, 0.802).

---

Entry 6:
# KRb2Li2

A relaxed structure of KRb2Li2 (PBE-GGA, Alexandria).

The density of states at the Fermi level is 6.90 states/eV per cell. The value obtained for the formation energy from the elements is 0.1216 eV/atom. For the energy above the most stable polymorph in this dataset, the calculation gives 0 meV/atom. The final energy is -1.251 eV per atom.

The space group is I4/mmm (No. 139) and the conventional cell measures 4.403, 4.403 and 28.992 Å, with angles of 90.00, 90.00 and 90.00 degrees. The inequivalent atoms are K at (0.000, 0.000, 0.000), Rb at (0.000, 0.000, 0.366) and Li at (0.000, 0.500, 0.250).

---

Entry 7:
# K8Rb2Li

A relaxed structure of K8Rb2Li (PBE-GGA, Alexandria).

The density of states at the Fermi level is 15.29 states/eV per cell. The value obtained for the formation energy from the elements is 0.0403 eV/atom. The final energy is -1.108 eV per atom.

The space group is C2/m (No. 12) and the conventional cell measures 26.248, 4.925 and 12.260 Å, with angles of 90.00, 103.05 and 90.00 degrees. The inequivalent atoms are K at (0.040, 0.000, 0.269), K at (0.088, 0.500, 0.983), K at (0.183, 0.500, 0.402), K at (0.232, 0.000, 0.139), Rb at (0.121, 0.000, 0.668) and Li at (0.000, 0.500, 0.500).

---

Entry 8:
# K6Rb5Li

A relaxed structure of K6Rb5Li (PBE-GGA, Alexandria).

The density of states at the Fermi level is 17.53 states/eV per cell. The value obtained for the formation energy from the elements is 0.0491 eV/atom. The final energy is -1.062 eV per atom.

The space group is C2/m (No. 12) and the conventional cell measures 15.893, 18.189 and 6.863 Å, with angles of 90.00, 115.37 and 90.00 degrees. The inequivalent atoms are K at (0.236, 0.157, 0.236), K at (0.247, 0.000, 0.747), Rb at (0.000, 0.149, 0.500), Rb at (0.000, 0.330, 0.000), Rb at (0.000, 0.500, 0.500) and Li at (0.000, 0.000, 0.000).

---

Entry 9:
# KRbLi2

A relaxed structure of KRbLi2 (PBE-GGA, Alexandria).

The density of states at the Fermi level is 2.36 states/eV per cell. The value obtained for the formation energy from the elements is 0.1956 eV/atom. For the energy above the most stable polymorph in this dataset, the calculation gives 0 meV/atom. The final energy is -1.278 eV per atom.

The space group is P4/mmm (No. 123) and the conventional cell measures 4.661, 4.661 and 9.095 Å, with angles of 90.00, 90.00 and 90.00 degrees. The inequivalent atoms are K at (0.000, 0.000, 0.000), Rb at (0.000, 0.000, 0.500) and Li at (0.500, 0.500, 0.207).

---

Entry 10:
# KRb2LiSe2

A relaxed structure of KRb2LiSe2 (PBE-GGA, Alexandria).

The density of states at the Fermi level is 0.00 states/eV per cell. The calculation puts the energy relative to the elements, uncorrected at -6.53 eV per formula unit. The final energy is -3.074 eV per atom.

The space group is Ibam (No. 72) and the conventional cell measures 7.809, 14.971 and 6.908 Å, with angles of 90.00, 90.00 and 90.00 degrees. The inequivalent atoms are K at (0.000, 0.000, 0.250), Rb at (0.200, 0.325, 0.000), Li at (0.000, 0.500, 0.250) and Se at (0.204, 0.403, 0.500).

---

Entry 11:
# KRb2LiSe

A relaxed structure of KRb2LiSe (PBE-GGA, Alexandria).

The density of states at the Fermi level is 2.59 states/eV per cell. The calculation puts the energy relative to the elements, uncorrected at -2.64 eV per formula unit. The final energy is -2.215 eV per atom.

The space group is P4/mmm (No. 123) and the conventional cell measures 7.140, 7.140 and 4.969 Å, with angles of 90.00, 90.00 and 90.00 degrees. The inequivalent atoms are K at (0.000, 0.000, 0.000), Rb at (0.000, 0.500, 0.500), Li at (0.500, 0.500, 0.000) and Se at (0.500, 0.500, 0.500).

---

Entry 12:
# K2RbLiSn

A relaxed structure of K2RbLiSn (PBE-GGA, Alexandria).

The density of states at the Fermi level is 2.18 states/eV per cell. The value obtained for the formation energy from the elements is -0.0219 eV/atom. For the energy above the most stable polymorph in this dataset, the calculation gives 5 meV/atom. The final energy is -1.838 eV per atom.

The space group is P4/mmm (No. 123) and the conventional cell measures 6.878, 6.878 and 5.547 Å, with angles of 90.00, 90.00 and 90.00 degrees. The inequivalent atoms are K at (0.000, 0.500, 0.000), Rb at (0.000, 0.000, 0.500), Li at (0.500, 0.500, 0.500) and Sn at (0.500, 0.500, 0.000).

---

Entry 13:
# K2RbLiSn

A relaxed structure of K2RbLiSn (PBE-GGA, Alexandria).

The density of states at the Fermi level is 2.76 states/eV per cell. The value obtained for the formation energy from the elements is -0.0271 eV/atom. For the energy above the most stable polymorph in this dataset, the calculation gives 0 meV/atom. The final energy is -1.843 eV per atom.

The space group is P4/mmm (No. 123) and the conventional cell measures 6.462, 6.462 and 5.314 Å, with angles of 90.00, 90.00 and 90.00 degrees. The inequivalent atoms are K at (0.000, 0.500, 0.000), Rb at (0.000, 0.000, 0.500), Li at (0.500, 0.500, 0.000) and Sn at (0.500, 0.500, 0.500).

---

Entry 14:
# KRbLi2Sn

A relaxed structure of KRbLi2Sn (PBE-GGA, Alexandria).

The density of states at the Fermi level is 0.91 states/eV per cell. The value obtained for the formation energy from the elements is -0.0653 eV/atom. The final energy is -2.044 eV per atom.

The space group is P4/mmm (No. 123) and the conventional cell measures 5.577, 5.577 and 6.590 Å, with angles of 90.00, 90.00 and 90.00 degrees. The inequivalent atoms are K at (0.000, 0.000, 0.000), Rb at (0.500, 0.500, 0.000), Li at (0.000, 0.500, 0.500) and Sn at (0.000, 0.000, 0.500).

---

Entry 15:
# K2RbSrLi

A relaxed structure of K2RbSrLi (PBE-GGA, Alexandria).

The density of states at the Fermi level is 4.92 states/eV per cell. The value obtained for the formation energy from the elements is 0.1792 eV/atom. The final energy is -1.172 eV per atom.

The space group is P4/mmm (No. 123) and the conventional cell measures 6.922, 6.922 and 6.895 Å, with angles of 90.00, 90.00 and 90.00 degrees. The inequivalent atoms are K at (0.000, 0.500, 0.000), Rb at (0.000, 0.000, 0.500), Sr at (0.500, 0.500, 0.500) and Li at (0.500, 0.500, 0.000).

---

Entry 16:
# K2RbLiTe

A relaxed structure of K2RbLiTe (PBE-GGA, Alexandria).

The density of states at the Fermi level is 1.75 states/eV per cell. The calculation puts the energy relative to the elements, uncorrected at -2.32 eV per formula unit. The final energy is -2.107 eV per atom.

The space group is P4/mmm (No. 123) and the conventional cell measures 7.054, 7.054 and 5.408 Å, with angles of 90.00, 90.00 and 90.00 degrees. The inequivalent atoms are K at (0.000, 0.500, 0.000), Rb at (0.000, 0.000, 0.500), Li at (0.500, 0.500, 0.500) and Te at (0.500, 0.500, 0.000).

---

Entry 17:
# KRb2LiTe2

A relaxed structure of KRb2LiTe2 (PBE-GGA, Alexandria).

The density of states at the Fermi level is 0.00 states/eV per cell. The calculation puts the energy relative to the elements, uncorrected at -5.98 eV per formula unit. The final energy is -2.869 eV per atom.

The space group is Ibam (No. 72) and the conventional cell measures 8.342, 15.822 and 7.357 Å, with angles of 90.00, 90.00 and 90.00 degrees. The inequivalent atoms are K at (0.000, 0.000, 0.250), Rb at (0.201, 0.328, 0.000), Li at (0.000, 0.500, 0.250) and Te at (0.207, 0.401, 0.500).

---

Entry 18:
# KRb2LiTl

A relaxed structure of KRb2LiTl (PBE-GGA, Alexandria).

The density of states at the Fermi level is 4.26 states/eV per cell. The value obtained for the formation energy from the elements is 0.0868 eV/atom. For the energy above the most stable polymorph in this dataset, the calculation gives 6 meV/atom. The final energy is -1.376 eV per atom.

The space group is P4/mmm (No. 123) and the conventional cell measures 7.010, 7.010 and 5.578 Å, with angles of 90.00, 90.00 and 90.00 degrees. The inequivalent atoms are K at (0.000, 0.000, 0.000), Rb at (0.000, 0.500, 0.500), Li at (0.500, 0.500, 0.500) and Tl at (0.500, 0.500, 0.000).

---

Entry 19:
# KRbLiTl2

A relaxed structure of KRbLiTl2 (PBE-GGA, Alexandria).

The density of states at the Fermi level is 3.69 states/eV per cell. The value obtained for the formation energy from the elements is 0.0498 eV/atom. For the energy above the most stable polymorph in this dataset, the calculation gives 25 meV/atom. The final energy is -1.692 eV per atom.

The space group is P4/mmm (No. 123) and the conventional cell measures 5.525, 5.525 and 6.226 Å, with angles of 90.00, 90.00 and 90.00 degrees. The inequivalent atoms are K at (0.000, 0.000, 0.000), Rb at (0.500, 0.500, 0.000), Li at (0.500, 0.500, 0.500) and Tl at (0.000, 0.500, 0.500).

---

Entry 20:
# K2RbLiTl

A relaxed structure of K2RbLiTl (PBE-GGA, Alexandria).

The density of states at the Fermi level is 3.59 states/eV per cell. The value obtained for the formation energy from the elements is 0.0524 eV/atom. For the energy above the most stable polymorph in this dataset, the calculation gives 0 meV/atom. The final energy is -1.436 eV per atom.

The space group is P4/mmm (No. 123) and the conventional cell measures 6.916, 6.916 and 5.666 Å, with angles of 90.00, 90.00 and 90.00 degrees. The inequivalent atoms are K at (0.000, 0.500, 0.000), Rb at (0.000, 0.000, 0.500), Li at (0.500, 0.500, 0.500) and Tl at (0.500, 0.500, 0.000).